1.
Density functional theory data (PBE) for a relaxed structure of Pm4P2Se.

## Properties
Energy relative to the elements, uncorrected   -1.43 eV per atom

Unit cell a=4.0831 b=4.0831 c=40.4226 alpha=90.00 beta=90.00 gamma=120.00
Space group R-3m (No. 166, hexagonal axes)
Symmetry-distinct sites (fractional):
Pm 0.0000 0.0000 0.1264 (multiplicity 6)
Pm 0.0000 0.0000 0.2868 (multiplicity 6)
P 0.0000 0.0000 0.4199 (multiplicity 6)
Se 0.0000 0.0000 0.0000 (multiplicity 3)

2.
Density functional theory data (PBE) for a relaxed structure of Ce2Ag3Ge.

## Properties
Calculated formation energy   -298 meV per atom

Unit cell a=6.759 b=9.558 c=16.612 alpha=90.00 beta=90.00 gamma=90.00
Space group Fmmm (No. 69)
Symmetry-distinct sites (fractional):
Ce 0.237 0.000 0.000 (multiplicity 8)
Ce 0.250 0.250 0.250 (multiplicity 8)
Ag 0.000 0.000 0.169 (multiplicity 8)
Ag 0.000 0.245 0.416 (multiplicity 16)
Ge 0.000 0.000 0.334 (multiplicity 8)

3.
Density functional theory data (PBE) for a relaxed structure of K2BaFe.

## Properties
Calculated formation energy   795 meV per atom
Energy above the most stable polymorph in this dataset   18.9 kJ/mol of atoms

Unit cell a=6.982 b=14.235 c=5.071 alpha=90.00 beta=132.91 gamma=90.00
Space group C2/m (No. 12)
Symmetry-distinct sites (fractional):
K 0.250 0.250 0.000 (multiplicity 4)
Ba 0.000 0.000 0.500 (multiplicity 2)
Fe 0.000 0.500 0.500 (multiplicity 2)

4.
Density functional theory data (PBE) for a relaxed structure of CaTcP2S.

## Properties
Energy relative to the elements, uncorrected   -0.32 eV per atom
Energy above the most stable polymorph in this dataset   0.0 kJ/mol of atoms

Unit cell a=4.463 b=4.463 c=5.490 alpha=90.00 beta=90.00 gamma=90.00
Space group P4/mmm (No. 123)
Symmetry-distinct sites (fractional):
Ca 0.000 0.000 0.000 (multiplicity 1)
Tc 0.500 0.500 0.500 (multiplicity 1)
P 0.000 0.500 0.500 (multiplicity 2)
S 0.500 0.500 0.000 (multiplicity 1)

5.
Density functional theory data (PBE) for a relaxed structure of LaTcC3.

## Properties
Calculated formation energy   3277 meV per atom
Energy above the most stable polymorph in this dataset   250.7 kJ/mol of atoms

Unit cell a=4.243 b=4.243 c=4.243 alpha=90.00 beta=90.00 gamma=90.00
Space group Pm-3m (No. 221)
Symmetry-distinct sites (fractional):
La 0.000 0.000 0.000 (multiplicity 1)
Tc 0.500 0.500 0.500 (multiplicity 1)
C 0.000 0.000 0.500 (multiplicity 3)

6.
Density functional theory data (PBE) for a relaxed structure of RbSiTe3H.

Unit cell a=12.427 b=8.597 c=7.949 alpha=90.00 beta=107.07 gamma=90.00
Space group C2/m (No. 12)
Symmetry-distinct sites (fractional):
Rb 0.193 0.000 0.190 (multiplicity 4)
Si 0.027 0.500 0.155 (multiplicity 4)
Te 0.052 0.248 0.760 (multiplicity 8)
Te 0.236 0.500 0.288 (multiplicity 4)
H 0.000 0.267 0.500 (multiplicity 4)

7.
Density functional theory data (PBE) for a relaxed structure of Ba2Tl2Rh.

## Properties
Calculated formation energy   -75 meV per atom
Energy above the most stable polymorph in this dataset   22.0 kJ/mol of atoms

Unit cell a=7.598 b=7.598 c=5.579 alpha=90.00 beta=90.00 gamma=90.00
Space group P4/mbm (No. 127)
Symmetry-distinct sites (fractional):
Ba 0.174 0.326 0.000 (multiplicity 4)
Tl 0.148 0.648 0.500 (multiplicity 4)
Rh 0.000 0.000 0.500 (multiplicity 2)

8.
Density functional theory data (PBE) for a relaxed structure of AuCl4.

## Properties
Energy relative to the elements, uncorrected   -0.09 eV per atom

Unit cell a=7.848 b=9.131 c=5.335 alpha=90.00 beta=100.32 gamma=90.00
Space group C2/m (No. 12)
Symmetry-distinct sites (fractional):
Au 0.000 0.000 0.000 (multiplicity 2)
Cl 0.114 0.178 0.774 (multiplicity 8)

9.
Density functional theory data (PBE) for a relaxed structure of Pm5Pu2Pb4.

## Properties
Calculated formation energy   -112 meV per atom

Unit cell a=20.452 b=3.591 c=9.175 alpha=90.00 beta=94.87 gamma=90.00
Space group C2/m (No. 12)
Symmetry-distinct sites (fractional):
Pm 0.000 0.000 0.000 (multiplicity 2)
Pm 0.097 0.000 0.470 (multiplicity 4)
Pm 0.177 0.500 0.836 (multiplicity 4)
Pu 0.236 0.000 0.428 (multiplicity 4)
Pb 0.026 0.500 0.713 (multiplicity 4)
Pb 0.158 0.000 0.130 (multiplicity 4)

10.
Density functional theory data (PBE) for a relaxed structure of NdAlZn2Cu.

## Properties
Calculated formation energy   -341 meV per atom

Unit cell a=4.072 b=4.213 c=10.934 alpha=90.00 beta=90.00 gamma=90.00
Space group Imm2 (No. 44)
Symmetry-distinct sites (fractional):
Nd 0.000 0.000 0.000 (multiplicity 2)
Al 0.000 0.500 0.754 (multiplicity 2)
Zn 0.000 0.000 0.611 (multiplicity 2)
Zn 0.000 0.500 0.257 (multiplicity 2)
Cu 0.000 0.000 0.385 (multiplicity 2)

11.
Density functional theory data (PBE) for a relaxed structure of KIr2RuPt.

## Properties
Calculated formation energy   3106 meV per atom

Unit cell a=4.642 b=4.642 c=4.536 alpha=90.00 beta=90.00 gamma=90.00
Space group P4/mmm (No. 123)
Symmetry-distinct sites (fractional):
K 0.000 0.000 0.000 (multiplicity 1)
Ir 0.000 0.500 0.000 (multiplicity 2)
Ru 0.000 0.000 0.500 (multiplicity 1)
Pt 0.500 0.500 0.500 (multiplicity 1)

12.
Density functional theory data (PBE) for a relaxed structure of ZrIn2Ir.

## Properties
Calculated formation energy   -149 meV per atom

Unit cell a=3.154 b=4.692 c=5.517 alpha=90.00 beta=98.50 gamma=90.00
Space group P2/m (No. 10)
Symmetry-distinct sites (fractional):
Zr 0.000 0.000 0.000 (multiplicity 1)
In 0.362 0.500 0.740 (multiplicity 2)
Ir 0.500 0.000 0.500 (multiplicity 1)

13.
Density functional theory data (PBE) for a relaxed structure of SmThSbSe.

## Properties
Energy relative to the elements, uncorrected   -1.32 eV per atom

Unit cell a=4.324 b=4.324 c=6.213 alpha=90.00 beta=90.00 gamma=90.00
Space group P4mm (No. 99)
Symmetry-distinct sites (fractional):
Sm 0.000 0.000 0.000 (multiplicity 1)
Th 0.500 0.500 0.501 (multiplicity 1)
Sb 0.500 0.500 0.001 (multiplicity 1)
Se 0.000 0.000 0.500 (multiplicity 1)

14.
Density functional theory data (PBE) for a relaxed structure of LaYSN.

## Properties
Energy relative to the elements, uncorrected   -1.80 eV per atom

Unit cell a=3.7335 b=3.7335 c=19.6313 alpha=90.00 beta=90.00 gamma=120.00
Space group R3m (No. 160, hexagonal axes)
Symmetry-distinct sites (fractional):
La 0.0000 0.0000 0.0000 (multiplicity 3)
Y 0.0000 0.0000 0.5258 (multiplicity 3)
S 0.0000 0.0000 0.7688 (multiplicity 3)
N 0.0000 0.0000 0.2557 (multiplicity 3)

15.
Density functional theory data (PBE) for a relaxed structure of LiPrAg2Br6.

## Properties
Energy relative to the elements, uncorrected   -1.15 eV per atom

Unit cell a=7.255 b=7.259 c=7.829 alpha=62.46 beta=62.55 gamma=60.09
Space group P1 (No. 1)
Symmetry-distinct sites (fractional):
Li 0.000 0.000 0.000 (multiplicity 1)
Pr 0.516 0.516 0.453 (multiplicity 1)
Ag 0.206 0.203 0.387 (multiplicity 1)
Ag 0.767 0.768 0.698 (multiplicity 1)
Br 0.118 0.778 0.716 (multiplicity 1)
Br 0.256 0.617 0.208 (multiplicity 1)
Br 0.388 0.118 0.716 (multiplicity 1)
Br 0.618 0.918 0.208 (multiplicity 1)
Br 0.776 0.389 0.718 (multiplicity 1)
Br 0.919 0.256 0.209 (multiplicity 1)

16.
Density functional theory data (PBE) for a relaxed structure of Hf2TlSb.

## Properties
Energy relative to the elements, uncorrected   0.03 eV per atom

Unit cell a=3.7156 b=3.7156 c=24.6440 alpha=90.00 beta=90.00 gamma=120.00
Space group R3m (No. 160, hexagonal axes)
Symmetry-distinct sites (fractional):
Hf 0.0000 0.0000 0.0000 (multiplicity 3)
Hf 0.0000 0.0000 0.1810 (multiplicity 3)
Tl 0.0000 0.0000 0.7578 (multiplicity 3)
Sb 0.0000 0.0000 0.5901 (multiplicity 3)

17.
Density functional theory data (PBE) for a relaxed structure of HoInSnBr6.

## Properties
Energy relative to the elements, uncorrected   -1.25 eV per atom

Unit cell a=7.5347 b=7.5347 c=7.1121 alpha=90.00 beta=90.00 gamma=120.00
Space group P312 (No. 149)
Symmetry-distinct sites (fractional):
Ho 0.0000 0.0000 0.0000 (multiplicity 1)
In 0.6667 0.3333 0.5000 (multiplicity 1)
Sn 0.3333 0.6667 0.0000 (multiplicity 1)
Br 0.0201 0.3136 0.7716 (multiplicity 6)

18.
Density functional theory data (PBE) for a relaxed structure of K2ReAg.

## Properties
Calculated formation energy   1046 meV per atom
Energy above the most stable polymorph in this dataset   6.1 kJ/mol of atoms

Unit cell a=2.839 b=2.839 c=11.329 alpha=90.00 beta=90.00 gamma=90.00
Space group P4/mmm (No. 123)
Symmetry-distinct sites (fractional):
K 0.000 0.000 0.244 (multiplicity 2)
Re 0.500 0.500 0.000 (multiplicity 1)
Ag 0.500 0.500 0.500 (multiplicity 1)

19.
Density functional theory data (PBE) for a relaxed structure of K3TmF6.

## Properties
Energy relative to the elements, uncorrected   -3.38 eV per atom

Unit cell a=6.359 b=6.597 c=11.014 alpha=90.00 beta=124.46 gamma=90.00
Space group P2_1/c (No. 14)
Symmetry-distinct sites (fractional):
K 0.000 0.000 0.000 (multiplicity 2)
K 0.226 0.051 0.743 (multiplicity 4)
Tm 0.500 0.000 0.500 (multiplicity 2)
F 0.178 0.177 0.451 (multiplicity 4)
F 0.258 0.735 0.426 (multiplicity 4)
F 0.395 0.059 0.280 (multiplicity 4)

20.
Density functional theory data (PBE) for a relaxed structure of YSiB3.

## Properties
Energy relative to the elements, uncorrected   2.42 eV per atom
Energy above the most stable polymorph in this dataset   167.6 kJ/mol of atoms

Unit cell a=4.666 b=4.666 c=4.666 alpha=90.00 beta=90.00 gamma=90.00
Space group Pm-3m (No. 221)
Symmetry-distinct sites (fractional):
Y 0.000 0.000 0.000 (multiplicity 1)
Si 0.500 0.500 0.500 (multiplicity 1)
B 0.000 0.000 0.500 (multiplicity 3)

21.
Density functional theory data (PBE) for a relaxed structure of Cu6IrPd.

## Properties
Calculated formation energy   95 meV per atom

Unit cell a=6.9400 b=6.9400 c=7.5135 alpha=90.00 beta=90.00 gamma=120.00
Space group R-3 (No. 148, hexagonal axes)
Symmetry-distinct sites (fractional):
Cu 0.0011 0.7266 0.2521 (multiplicity 18)
Ir 0.0000 0.0000 0.5000 (multiplicity 3)
Pd 0.0000 0.0000 0.0000 (multiplicity 3)

22.
Density functional theory data (PBE) for a relaxed structure of Bi3AuBr.

## Properties
Energy relative to the elements, uncorrected   -0.13 eV per atom
Energy above the most stable polymorph in this dataset   0.0 kJ/mol of atoms

Unit cell a=9.846 b=17.108 c=7.491 alpha=90.00 beta=97.04 gamma=90.00
Space group C2/c (No. 15)
Symmetry-distinct sites (fractional):
Bi 0.113 0.194 0.488 (multiplicity 8)
Bi 0.135 0.429 0.610 (multiplicity 8)
Bi 0.165 0.314 0.139 (multiplicity 8)
Au 0.000 0.294 0.750 (multiplicity 4)
Au 0.000 0.439 0.250 (multiplicity 4)
Br 0.145 0.070 0.999 (multiplicity 8)

23.
Density functional theory data (PBE) for a relaxed structure of YTeAsBr2.

## Properties
Energy relative to the elements, uncorrected   -0.48 eV per atom
Energy above the most stable polymorph in this dataset   0.0 kJ/mol of atoms

Unit cell a=5.346 b=5.346 c=6.069 alpha=90.00 beta=90.00 gamma=90.00
Space group P4/mmm (No. 123)
Symmetry-distinct sites (fractional):
Y 0.000 0.000 0.000 (multiplicity 1)
Te 0.500 0.500 0.500 (multiplicity 1)
As 0.000 0.000 0.500 (multiplicity 1)
Br 0.000 0.500 0.000 (multiplicity 2)

24.
Density functional theory data (PBE) for a relaxed structure of LiTlRh2.

## Properties
Calculated formation energy   -1 meV per atom

Unit cell a=3.111 b=4.593 c=8.670 alpha=90.00 beta=90.00 gamma=90.00
Space group Immm (No. 71)
Symmetry-distinct sites (fractional):
Li 0.000 0.000 0.000 (multiplicity 2)
Tl 0.000 0.000 0.500 (multiplicity 2)
Rh 0.000 0.500 0.266 (multiplicity 4)

25.
Density functional theory data (PBE) for a relaxed structure of Er2ZnSi.

## Properties
Energy relative to the elements, uncorrected   -0.57 eV per atom

Unit cell a=4.031 b=4.142 c=10.672 alpha=90.00 beta=90.00 gamma=90.00
Space group Amm2 (No. 38)
Symmetry-distinct sites (fractional):
Er 0.000 0.000 0.000 (multiplicity 2)
Er 0.500 0.000 0.284 (multiplicity 2)
Zn 0.000 0.000 0.713 (multiplicity 2)
Si 0.500 0.000 0.567 (multiplicity 2)

no.,total energy (eV per atom),Fermi-level density of states (states/eV per atom)
1,-6.185,0.588
2,-4.471,1.946
3,-2.350,1.297
4,-5.783,0.360
5,-5.316,1.614
6,-3.422,0.330
7,-3.261,1.352
8,-2.220,0.718
9,-6.225,1.007
10,-3.372,0.614
11,-3.722,1.103
12,-5.871,0.761
13,-6.258,0.706
14,-7.762,0.312
15,-3.398,0.000
16,-6.570,0.730
17,-3.620,0.000
18,-3.327,0.766
19,-5.280,0.000
20,-3.968,0.717
21,-4.734,0.644
22,-3.444,0.426
23,-4.003,0.788
24,-4.746,0.641
25,-4.531,0.924